No. 1
Entry from Alexandria via LeMat-Bulk: a relaxed structure of La2Be3Si4Ir (PBE).

```
10
Lattice="4.050 0.000 0.000 0.000 4.050 0.000 0.000 0.000 9.991" Properties=species:S:1:pos:R:3 pbc="T T T"
Be 0.000 0.000 4.995
Be 2.025 0.000 8.737
Be 0.000 2.025 1.254
La 0.000 2.025 7.565
La 2.025 0.000 2.426
Si 0.000 2.025 3.688
Si 0.000 0.000 0.000
Si 2.025 2.025 0.000
Si 2.025 0.000 6.303
Ir 2.025 2.025 4.995
```

## Properties
Energy relative to the elements, uncorrected   -0.53 eV/atom

***

No. 2
Entry from Alexandria via LeMat-Bulk: a relaxed structure of LaBeSi2Ir (PBE).

```
5
Lattice="-1.873 -3.506 -0.753 3.413 -2.004 0.838 -2.183 2.437 4.954" Properties=species:S:1:pos:R:3 pbc="T T T"
Ir 1.000 -1.161 2.918
Si -1.063 -0.239 3.756
Si 0.419 -2.834 1.284
Be -1.644 -1.912 2.122
La 0.000 0.000 0.000
```

## Properties
Energy relative to the elements, uncorrected   -0.70 eV/atom

***

No. 3
Entry from Alexandria via LeMat-Bulk: a relaxed structure of La2Be4Si3Ir (PBE).

```
10
Lattice="3.985 0.000 0.000 0.000 3.985 0.000 0.000 0.000 9.954" Properties=species:S:1:pos:R:3 pbc="T T T"
La 1.993 0.000 2.435
La 0.000 1.993 7.518
Si 1.993 0.000 8.695
Si 0.000 0.000 4.977
Si 0.000 1.993 1.258
Be 1.993 0.000 6.210
Be 0.000 1.993 3.744
Be 1.993 1.993 0.000
Be 0.000 0.000 0.000
Ir 1.993 1.993 4.977
```

## Properties
Energy relative to the elements, uncorrected   -0.48 eV/atom

***

No. 4
Entry from Alexandria via LeMat-Bulk: a relaxed structure of LaBeSiIr2 (PBE).

```
5
Lattice="4.280 0.000 0.000 0.000 4.979 0.000 0.000 0.000 4.280" Properties=species:S:1:pos:R:3 pbc="T T T"
Si 2.140 2.489 2.140
Be 0.000 0.000 0.000
La 0.000 2.489 0.000
Ir 2.140 0.000 0.000
Ir 0.000 0.000 2.140
```

## Properties
Energy relative to the elements, uncorrected   0.23 eV/atom

***

No. 5
Entry from Alexandria via LeMat-Bulk: a relaxed structure of La2BeTcIr (PBE).

```
5
Lattice="-0.537 4.034 3.403 -1.388 -2.562 2.819 4.956 -0.792 1.720" Properties=species:S:1:pos:R:3 pbc="T T T"
Tc -0.694 -1.281 1.409
La -0.268 2.017 1.701
La 2.478 -0.396 0.860
Ir 1.515 0.340 3.971
Be 0.000 0.000 0.000
```

## Properties
Energy relative to the elements   423.6 meV/atom

***

No. 6
Entry from Alexandria via LeMat-Bulk: a relaxed structure of LaTiBeIr2 (PBE).

```
5
Lattice="-2.905 0.435 -2.726 1.372 -3.205 -1.974 -2.639 -1.977 5.442" Properties=species:S:1:pos:R:3 pbc="T T T"
Ti -1.017 -3.284 0.559
Ir -2.589 -2.556 2.351
Ir -1.583 -2.192 -1.608
Be -3.155 -1.463 0.183
La 0.000 0.000 0.000
```

## Properties
Energy relative to the elements   -653.9 meV/atom

***

No. 7
Entry from Alexandria via LeMat-Bulk: a relaxed structure of LaYBe2Ir (PBE).

```
5
Lattice="4.893 0.000 0.000 0.000 4.893 0.000 0.000 0.000 5.014" Properties=species:S:1:pos:R:3 pbc="T T T"
Y 2.447 2.447 2.507
Ir 0.000 0.000 2.507
La 0.000 0.000 0.000
Be 0.000 2.447 0.000
Be 2.447 0.000 0.000
```

## Properties
Energy relative to the elements   1085.2 meV/atom

***

No. 8
Entry from Alexandria via LeMat-Bulk: a relaxed structure of LaBeZn2Ir (PBE).

```
5
Lattice="-1.168 -4.443 1.422 1.288 0.954 4.041 -4.442 1.507 1.060" Properties=species:S:1:pos:R:3 pbc="T T T"
Ir 0.000 0.000 0.000
Zn -2.221 0.754 0.530
Zn -0.584 -2.221 0.711
Be 0.644 0.477 2.021
La -2.161 -0.991 3.262
```

## Properties
Energy relative to the elements   -274.5 meV/atom